A geometry-optimized Ba2PrGeSe5 structure, computed with GGA-PBE.

Summary:
**Space group**: No. 36
**Theoretical density**: 5.1 g/cm³
**Energy**: -4.94 eV per atom
**Formation energy from raw total energies**: -13.82 eV/f.u.

Cell: 9.7502 9.7502 13.3069 Å, 90.00 90.00 153.10°
Fractional coordinates of all 18 atoms:
Ba 0.1195 0.8805 0.5000
Ba 0.1227 0.8773 0.1463
Ba 0.8773 0.1227 0.6463
Ba 0.8805 0.1195 0.0000
Pr 0.2022 0.7978 0.8418
Pr 0.7978 0.2022 0.3418
Ge 0.4466 0.5534 0.2443
Ge 0.5534 0.4466 0.7443
Se 0.0367 0.9633 0.8256
Se 0.3000 0.7000 0.4860
Se 0.3192 0.6808 0.1852
Se 0.3528 0.6472 0.8234
Se 0.4985 0.5015 0.5800
Se 0.5015 0.4985 0.0800
Se 0.6472 0.3528 0.3234
Se 0.6808 0.3192 0.6852
Se 0.7000 0.3000 0.9860
Se 0.9633 0.0367 0.3256